First-principles (PBE) data for an optimized crystal structure of Ni3OsRh, as listed in Alexandria.

Geometry as CIF:
```
data_Ni3OsRh
_chemical_formula_sum 'Ni12 Os4 Rh4'
_cell_length_a 4.865
_cell_length_b 4.590
_cell_length_c 11.237
_cell_angle_alpha 90.00
_cell_angle_beta 99.66
_cell_angle_gamma 90.00
_space_group_name_H-M_alt 'P 1 21/c 1'
_space_group_IT_number 14
loop_
_space_group_symop_operation_xyz
'x,y,z'
'-x,-y,-z'
'-x,y+1/2,-z+1/2'
'x,-y+1/2,z+1/2'
loop_
_atom_site_label
_atom_site_type_symbol
_atom_site_fract_x
_atom_site_fract_y
_atom_site_fract_z
Ni1 Ni 0.052 0.078 0.198
Ni2 Ni 0.152 0.585 0.103
Ni3 Ni 0.247 0.083 0.003
Os1 Os 0.448 0.087 0.802
Rh1 Rh 0.345 0.590 0.901
```

The volume comes out at 247.4 Å³ per cell. As for the theoretical density: 12.60 g/cm³. The calculation puts the energy above the most stable polymorph in this dataset at 0.023 eV per atom.

First-principles (PBE) data for an optimized crystal structure of LaTc2Pt, as listed in Alexandria.

Geometry as CIF:
```
data_LaTc2Pt
_chemical_formula_sum 'La1 Tc2 Pt1'
_cell_length_a 3.105
_cell_length_b 3.105
_cell_length_c 7.782
_cell_angle_alpha 90.00
_cell_angle_beta 90.00
_cell_angle_gamma 90.00
_space_group_name_H-M_alt 'P 4 m m'
_space_group_IT_number 99
loop_
_space_group_symop_operation_xyz
'x,y,z'
'-y,x,z'
'-x,-y,z'
'y,-x,z'
'-x,y,z'
'y,x,z'
'x,-y,z'
'-y,-x,z'
loop_
_atom_site_label
_atom_site_type_symbol
_atom_site_fract_x
_atom_site_fract_y
_atom_site_fract_z
La1 La 0.000 0.000 0.000
Tc1 Tc 0.000 0.000 0.524
Tc2 Tc 0.500 0.500 0.694
Pt1 Pt 0.500 0.500 0.290
```

The volume comes out at 75.0 Å³ per cell. As for the theoretical density: 11.73 g/cm³. The calculation puts the energy above the most stable polymorph in this dataset at 0.060 eV per atom.

First-principles (PBE) data for an optimized crystal structure of V3Te6Pd, as listed in Alexandria.

Geometry as CIF:
```
data_V3Te6Pd
_chemical_formula_sum 'V6 Te12 Pd2'
_cell_length_a 10.994
_cell_length_b 3.688
_cell_length_c 11.966
_cell_angle_alpha 90.00
_cell_angle_beta 105.65
_cell_angle_gamma 90.00
_space_group_name_H-M_alt 'P 1 21/m 1'
_space_group_IT_number 11
loop_
_space_group_symop_operation_xyz
'x,y,z'
'-x,-y,-z'
'-x,y+1/2,-z'
'x,-y+1/2,z'
loop_
_atom_site_label
_atom_site_type_symbol
_atom_site_fract_x
_atom_site_fract_y
_atom_site_fract_z
V1 V 0.008 0.250 0.325
V2 V 0.387 0.750 0.477
V3 V 0.437 0.250 0.879
Te1 Te 0.015 0.750 0.147
Te2 Te 0.129 0.750 0.493
Te3 Te 0.253 0.750 0.805
Te4 Te 0.260 0.250 0.321
Te5 Te 0.372 0.250 0.081
Te6 Te 0.439 0.250 0.643
Pd1 Pd 0.156 0.750 0.986
```

The volume comes out at 467.1 Å³ per cell. As for the theoretical density: 7.29 g/cm³. For the formation energy from raw total energies, the calculation gives -198 meV per atom.

First-principles (PBE) data for an optimized crystal structure of K3Ga2As4, as listed in Alexandria.

Geometry as CIF:
```
data_K3Ga2As4
_chemical_formula_sum 'K3 Ga2 As4'
_cell_length_a 4.138
_cell_length_b 7.754
_cell_length_c 8.978
_cell_angle_alpha 66.51
_cell_angle_beta 76.69
_cell_angle_gamma 89.99
_space_group_name_H-M_alt 'P -1'
_space_group_IT_number 2
loop_
_space_group_symop_operation_xyz
'x,y,z'
'-x,-y,-z'
loop_
_atom_site_label
_atom_site_type_symbol
_atom_site_fract_x
_atom_site_fract_y
_atom_site_fract_z
K1 K 0.000 0.000 0.000
K2 K 0.149 0.758 0.702
Ga1 Ga 0.330 0.586 0.340
As1 As 0.204 0.262 0.593
As2 As 0.485 0.637 0.030
```

The volume comes out at 255.7 Å³ per cell. As for the theoretical density: 3.61 g/cm³. The calculation puts the energy above the most stable polymorph in this dataset at 0.000 eV per atom.